# 1
Density functional theory data (PBE-GGA) for a geometry-optimized Sm8IrPb2 structure.

Cell and atoms, written as extended XYZ:
```
11
Lattice="9.904 -2.541 0.000 9.904 2.541 0.000 -1.827 0.000 6.649" Properties=species:S:1:pos:R:3 pbc="T T T"
Sm -0.187 0.000 1.902
Sm 2.782 0.000 5.491
Sm 6.138 0.000 3.306
Sm 8.068 0.000 0.269
Sm 9.914 0.000 6.380
Sm 11.843 0.000 3.343
Sm 15.199 0.000 1.158
Sm 18.169 0.000 4.748
Ir 8.991 0.000 3.325
Pb 3.111 0.000 1.722
Pb 14.871 0.000 4.927
```

Summary:
calculated total energy	-58.01	eV per cell

# 2
Density functional theory data (PBE-GGA) for a geometry-optimized Sm5Ir2Pb2 structure.

Cell and atoms, written as extended XYZ:
```
18
Lattice="8.002 -4.299 0.000 8.002 4.299 0.000 0.000 0.000 7.353" Properties=species:S:1:pos:R:3 pbc="T T T"
Sm 0.000 0.000 0.000
Sm 6.114 2.747 4.794
Sm 6.114 1.552 1.117
Sm 9.889 2.747 4.794
Sm 9.889 1.552 1.117
Sm 8.002 0.000 3.677
Sm 6.114 -1.552 6.236
Sm 6.114 -2.747 2.559
Sm 9.889 -1.552 6.236
Sm 9.889 -2.747 2.559
Ir 8.002 3.242 2.691
Ir 8.002 1.057 6.368
Ir 8.002 -1.057 0.985
Ir 8.002 -3.242 4.662
Pb 3.439 0.000 0.000
Pb 4.563 0.000 3.677
Pb 11.440 0.000 3.677
Pb 12.565 0.000 0.000
```

Summary:
calculated total energy	-108.27	eV per cell

# 3
Density functional theory data (PBE-GGA) for a geometry-optimized Sm3IrPb2 structure.

Cell and atoms, written as extended XYZ:
```
12
Lattice="6.942 -3.195 0.000 6.942 3.195 0.000 -2.524 0.000 7.753" Properties=species:S:1:pos:R:3 pbc="T T T"
Sm 5.049 2.093 5.815
Sm 3.844 0.594 2.961
Sm 2.582 -0.594 6.838
Sm 8.777 0.594 0.916
Sm 7.515 -0.594 4.792
Sm 6.311 -2.093 1.938
Ir 6.311 0.804 1.938
Ir 5.049 -0.804 5.815
Pb 2.099 0.738 0.134
Pb 0.837 -0.738 4.010
Pb 10.523 0.738 3.743
Pb 9.261 -0.738 7.620
```

Summary:
distance to the lowest polymorph of the same formula	128	meV/atom
calculated total energy	-66.48	eV per cell

# 4
Density functional theory data (PBE-GGA) for a geometry-optimized Sm4IrPb structure.

Cell and atoms, written as extended XYZ:
```
12
Lattice="4.547 -6.929 0.000 4.547 6.929 0.000 -2.450 0.000 5.678" Properties=species:S:1:pos:R:3 pbc="T T T"
Sm 1.248 4.543 5.285
Sm 0.944 0.980 3.733
Sm 4.172 4.543 3.232
Sm 2.169 -0.980 0.894
Sm 4.475 0.980 4.785
Sm 2.473 -4.543 2.446
Sm 5.700 -0.980 1.945
Sm 5.397 -4.543 0.393
Ir 3.935 6.919 1.420
Ir 2.710 -6.919 4.259
Pb 3.935 1.768 1.420
Pb 2.710 -1.768 4.259
```

Summary:
distance to the lowest polymorph of the same formula	24	meV/atom
calculated total energy	-68.84	eV per cell

# 5
Density functional theory data (PBE-GGA) for a geometry-optimized Sm4Ir2Pb5 structure.

Cell and atoms, written as extended XYZ:
```
11
Lattice="8.143 0.000 0.000 0.000 3.749 0.000 -0.584 0.000 9.863" Properties=species:S:1:pos:R:3 pbc="T T T"
Sm 1.382 0.000 3.360
Sm 1.111 0.000 9.172
Sm 6.449 0.000 0.691
Sm 6.178 0.000 6.503
Ir 0.590 1.874 1.329
Ir 6.970 1.874 8.535
Pb 0.789 1.874 6.261
Pb 3.600 1.874 1.605
Pb 3.780 1.874 4.932
Pb 3.960 1.874 8.258
Pb 6.771 1.874 3.602
```

Summary:
calculated total energy	-60.93	eV per cell

# 6
Density functional theory data (PBE-GGA) for a geometry-optimized Sm2IrPb structure.

Cell and atoms, written as extended XYZ:
```
4
Lattice="3.557 0.000 0.000 0.000 3.557 0.000 0.000 0.000 8.183" Properties=species:S:1:pos:R:3 pbc="T T T"
Sm 0.000 0.000 1.678
Sm 0.000 0.000 6.504
Ir 1.779 1.779 0.000
Pb 1.779 1.779 4.091
```

Summary:
distance to the lowest polymorph of the same formula	0	meV/atom
calculated total energy	-24.45	eV per cell

# 7
Density functional theory data (PBE-GGA) for a geometry-optimized Sm4IrPb structure.

Cell and atoms, written as extended XYZ:
```
24
Lattice="0.000 7.029 7.029 7.029 0.000 7.029 7.029 7.029 0.000" Properties=species:S:1:pos:R:3 pbc="T T T"
Sm 9.160 4.898 4.898
Sm 3.515 3.515 0.762
Sm 3.515 0.762 3.515
Sm 6.267 3.515 3.515
Sm 7.029 7.029 2.661
Sm 7.029 2.661 7.029
Sm 11.397 7.029 7.029
Sm 0.762 3.515 3.515
Sm 3.515 6.267 3.515
Sm 3.515 3.515 6.267
Sm 4.898 9.160 4.898
Sm 4.898 4.898 9.160
Sm 9.160 9.160 9.160
Sm 2.661 7.029 7.029
Sm 7.029 11.397 7.029
Sm 7.029 7.029 11.397
Ir 12.064 9.023 9.023
Ir 9.023 12.064 9.023
Ir 9.023 9.023 12.064
Ir 12.064 12.064 12.064
Pb 5.773 5.773 5.773
Pb 8.285 8.285 5.773
Pb 8.285 5.773 8.285
Pb 5.773 8.285 8.285
```

Summary:
distance to the lowest polymorph of the same formula	0	meV/atom
calculated total energy	-138.26	eV per cell

# 8
Density functional theory data (PBE-GGA) for a geometry-optimized Sm4IrPb2 structure.

Cell and atoms, written as extended XYZ:
```
14
Lattice="6.901 0.000 0.000 0.000 6.712 0.000 -2.268 0.000 9.159" Properties=species:S:1:pos:R:3 pbc="T T T"
Sm 1.007 1.678 0.975
Sm 0.966 5.034 3.474
Sm 0.490 0.021 6.885
Sm 0.490 3.335 6.885
Sm 4.144 3.377 2.274
Sm 4.144 6.691 2.274
Sm 3.667 1.678 5.685
Sm 3.627 5.034 8.184
Ir 2.221 1.678 3.400
Ir 2.412 5.034 5.759
Pb -0.445 1.678 4.098
Pb 1.991 5.034 0.411
Pb 2.642 1.678 8.748
Pb 5.078 5.034 5.061
```

Summary:
calculated total energy	-77.00	eV per cell

Number 1: spin magnetization 0.000 μB/f.u., energy of formation -3.98 eV/f.u., N(E_F) 0.83 states/eV per atom. Number 2: spin magnetization 0.000 μB/f.u., energy of formation -5.40 eV/f.u., N(E_F) 0.75 states/eV per atom. Number 3: spin magnetization 0.000 μB/f.u., energy of formation -2.80 eV/f.u., N(E_F) 0.50 states/eV per atom. Number 4: spin magnetization 0.000 μB/f.u., energy of formation -2.98 eV/f.u., N(E_F) 1.02 states/eV per atom. Number 5: spin magnetization 0.000 μB/f.u., energy of formation -5.79 eV/f.u., N(E_F) 0.61 states/eV per atom. Number 6: spin magnetization 0.000 μB/f.u., energy of formation -2.44 eV/f.u., N(E_F) 0.51 states/eV per atom. Number 7: spin magnetization 0.000 μB/f.u., energy of formation -3.12 eV/f.u., N(E_F) 0.84 states/eV per atom. Number 8: spin magnetization 0.000 μB/f.u., energy of formation -3.35 eV/f.u., N(E_F) 0.65 states/eV per atom.